Crystalline Pu2PtAu at its relaxed geometry, computed with GGA-PBE. Values from VASP.

Structure (Quantum ESPRESSO input):
```
&SYSTEM
  ibrav = 0, nat = 4, ntyp = 3
/
ATOMIC_SPECIES
Pt 195.08 Pt.upf
Pu 244.00 Pu.upf
Au 196.97 Au.upf
CELL_PARAMETERS angstrom
3.514 0.000 0.000
0.000 3.514 0.000
0.000 0.000 7.444
ATOMIC_POSITIONS angstrom
Pt 0.000 0.000 0.000
Pu 1.757 1.757 1.730
Pu 1.757 1.757 5.714
Au 0.000 0.000 3.722
```

SG	P4/mmm
ΔE_f	-681	meV per atom

Crystalline ScAlSiPt at its relaxed geometry, computed with GGA-PBE. Values from VASP.

Structure (Quantum ESPRESSO input):
```
&SYSTEM
  ibrav = 0, nat = 8, ntyp = 4
/
ATOMIC_SPECIES
Sc 44.96 Sc.upf
Si 28.09 Si.upf
Pt 195.08 Pt.upf
Al 26.98 Al.upf
CELL_PARAMETERS angstrom
4.108 1.254 -3.103
-4.885 1.977 0.554
2.169 4.090 4.524
ATOMIC_POSITIONS angstrom
Sc 0.868 2.602 -0.407
Sc 0.545 4.760 2.427
Si 3.027 1.542 -2.409
Si -2.515 4.120 2.548
Pt 3.102 4.531 1.357
Pt -1.712 2.786 0.612
Al -1.710 5.767 4.390
Al 3.962 3.178 -0.620
```

SG	Cmc2_1
relative energy among the computed polymorphs	17	meV per atom

Crystalline RbSmB at its relaxed geometry, computed with GGA-PBE. Values from VASP.

Structure (Quantum ESPRESSO input):
```
&SYSTEM
  ibrav = 0, nat = 3, ntyp = 3
/
ATOMIC_SPECIES
Rb 85.47 Rb.upf
B 10.81 B.upf
Sm 150.36 Sm.upf
CELL_PARAMETERS angstrom
-4.093 1.841 1.991
-2.165 3.917 -2.019
-4.297 -0.495 -2.322
ATOMIC_POSITIONS angstrom
Rb -2.639 1.316 -0.587
B 0.000 0.000 0.000
Sm -7.917 3.947 -1.762
```

SG	F-43m
relative energy among the computed polymorphs	0	meV per atom

Crystalline Al6Co7 at its relaxed geometry, computed with GGA-PBE. Values from VASP.

Structure (Quantum ESPRESSO input):
```
&SYSTEM
  ibrav = 0, nat = 13, ntyp = 2
/
ATOMIC_SPECIES
Al 26.98 Al.upf
Co 58.93 Co.upf
CELL_PARAMETERS angstrom
2.449 1.414 7.851
-2.449 1.414 7.851
0.000 -2.828 7.851
ATOMIC_POSITIONS angstrom
Al 1.217 -0.703 17.576
Al 1.217 0.703 5.978
Al -1.217 -0.703 17.576
Al -1.217 0.703 5.978
Al 0.000 -1.406 5.978
Al 0.000 1.406 17.576
Co 0.000 0.000 19.605
Co 0.000 0.000 12.884
Co 0.000 0.000 0.000
Co 0.000 0.000 15.354
Co 0.000 0.000 10.670
Co 0.000 0.000 3.949
Co 0.000 0.000 8.200
```

SG	R-3m
relative energy among the computed polymorphs	232	meV per atom

Crystalline HfAgPO at its relaxed geometry, computed with GGA-PBE. Values from VASP.

Structure (Quantum ESPRESSO input):
```
&SYSTEM
  ibrav = 0, nat = 8, ntyp = 4
/
ATOMIC_SPECIES
P 30.97 P.upf
O 16.00 O.upf
Ag 107.87 Ag.upf
Hf 178.49 Hf.upf
CELL_PARAMETERS angstrom
-4.377 -0.910 2.664
1.731 -4.754 1.220
1.946 1.676 3.770
ATOMIC_POSITIONS angstrom
P 1.934 -1.457 2.680
P -1.311 0.301 3.032
O 0.000 0.000 0.000
O -1.323 -2.832 1.942
Ag -0.342 1.136 4.910
Ag 0.965 -2.291 0.803
Hf -0.350 -1.994 3.827
Hf 0.973 0.838 1.885
```

SG	P4/nmm
relative energy among the computed polymorphs	413	meV per atom

Crystalline Li2H6OsPd at its relaxed geometry, computed with GGA-PBE. Values from VASP.

Structure (Quantum ESPRESSO input):
```
&SYSTEM
  ibrav = 0, nat = 20, ntyp = 4
/
ATOMIC_SPECIES
H 1.01 H.upf
Os 190.23 Os.upf
Li 6.94 Li.upf
Pd 106.42 Pd.upf
CELL_PARAMETERS angstrom
-4.533 0.478 -0.742
-0.889 -2.351 3.917
4.532 5.622 4.403
ATOMIC_POSITIONS angstrom
H 0.936 1.196 4.578
H -1.826 2.553 3.000
H -0.321 3.362 4.683
H -3.567 -1.122 2.191
H 1.262 2.046 7.017
H -1.453 1.287 5.063
H 2.677 4.871 5.387
H 3.042 3.582 7.487
H 0.563 2.463 2.515
H -0.569 0.388 2.895
H -2.152 1.703 0.561
H -3.932 0.167 0.091
Os -0.445 1.875 3.789
Os -2.267 0.239 -0.371
Li 0.015 4.523 2.828
Li -0.905 -0.773 4.750
Li -2.660 0.630 2.429
Li 1.770 3.119 5.149
Pd 2.266 2.811 2.202
Pd -0.444 -1.176 1.958
```

DFT total energy	-4.146	eV/atom
SG	P2_1/c